First-principles (GGA-PBE) data for an optimized crystal structure of Rb3GaBi2, as listed in Alexandria.

a = 10.5245 Å, b = 10.5245 Å, c = 14.2401 Å
α = 115.87°, β = 115.87°, γ = 24.98°
Closest atoms and distances in Å follow each position.
Atoms (fractional coordinates):
1 Rb 0.0396 0.0396 0.2342  3 Bi 3.61-3.66
2 Rb 0.2304 0.2304 0.6176  3 Bi 3.58-3.67
3 Rb 0.3412 0.3412 0.9938  3 Bi 3.79-3.86
4 Rb 0.6588 0.6588 0.0062  3 Bi 3.79-3.86
5 Rb 0.7696 0.7696 0.3824  3 Bi 3.58-3.67
6 Rb 0.9604 0.9604 0.7658  3 Bi 3.61-3.66
7 Ga 0.4253 0.4253 0.3482  4 Bi 2.87-2.89
8 Ga 0.5747 0.5747 0.6518  4 Bi 2.87-2.89
9 Bi 0.1411 0.1411 0.7830  2 Ga 2.87
10 Bi 0.4177 0.4177 0.5446  2 Ga 2.87-2.89
11 Bi 0.5823 0.5823 0.4554  2 Ga 2.87-2.89
12 Bi 0.8589 0.8589 0.2170  2 Ga 2.87


First-principles (GGA-PBE) data for an optimized crystal structure of Rb6GaBi2, as listed in Alexandria.

a = 13.0974 Å, b = 13.0974 Å, c = 13.0974 Å
α = 28.61°, β = 28.61°, γ = 28.61°
Closest atoms and distances in Å follow each position.
Atoms (fractional coordinates):
1 Rb 0.0776 0.0776 0.0776  3 Bi 3.74
2 Rb 0.2002 0.2002 0.2002  3 Ga 3.94, 4 Rb 4.11-4.28, 3 Bi 4.18
3 Rb 0.3092 0.3092 0.3092  4 Bi 4.06-4.36, 7 Rb 4.11-4.25
4 Rb 0.6908 0.6908 0.6908  4 Bi 4.06-4.36, 7 Rb 4.11-4.25
5 Rb 0.7998 0.7998 0.7998  3 Ga 3.94, 4 Rb 4.11-4.28, 3 Bi 4.18
6 Rb 0.9224 0.9224 0.9224  3 Bi 3.74
7 Ga 0.5000 0.5000 0.5000  2 Bi 3.13
8 Bi 0.4169 0.4169 0.4169  1 Ga 3.13
9 Bi 0.5831 0.5831 0.5831  1 Ga 3.13


Per-record magnetization, μB per formula unit: 0.00 0.00
Per-record formation enthalpy at 0 K, kJ/mol of atoms: -17.67 -16.02